Entry from Alexandria via LeMat-Bulk: crystalline Cs2RbW at its relaxed geometry (PBE).

The structure in POSCAR format:
```
Cs2RbW
1.0
3.015 -6.183 10.113
9.745 5.416 5.030
-10.713 4.592 -3.707
Cs W Rb
4 2 2
direct
0.875 0.125 0.250
0.375 0.125 0.250
0.875 0.625 0.750
0.875 0.125 0.750
0.750 0.250 0.500
0.000 0.000 0.000
0.250 0.750 0.500
0.500 0.500 0.000
```

Values from the calculation:
Symmetry: I4_1/amd (141)
Calculated formation energy: 1.75 eV per atom
Calculated volume: 127.37 Å³/atom
D(E_F): 7.549 states/eV per cell

=====

Entry from Alexandria via LeMat-Bulk: crystalline CsRb3W at its relaxed geometry (PBE).

The structure in POSCAR format:
```
CsRb3W
1.0
8.022 0.000 0.000
0.000 8.022 0.000
0.000 0.000 8.022
W Rb Cs
1 3 1
direct
0.500 0.500 0.500
0.500 0.000 0.000
0.000 0.500 0.000
0.000 0.000 0.500
0.000 0.000 0.000
```

Values from the calculation:
Symmetry: Pm-3m (221)
Calculated formation energy: 1.77 eV per atom
Calculated volume: 103.24 Å³/atom
D(E_F): 6.645 states/eV per cell

=====

Entry from Alexandria via LeMat-Bulk: crystalline Cs3RbW at its relaxed geometry (PBE).

The structure in POSCAR format:
```
Cs3RbW
1.0
8.207 0.000 0.000
0.000 8.207 0.000
0.000 0.000 8.207
Cs Rb W
3 1 1
direct
0.000 0.000 0.500
0.500 0.000 0.000
0.000 0.500 0.000
0.000 0.000 0.000
0.500 0.500 0.500
```

Values from the calculation:
Symmetry: Pm-3m (221)
E above lowest polymorph: 211 kJ/mol of formula units
Calculated formation energy: 1.65 eV per atom
Calculated volume: 110.57 Å³/atom
D(E_F): 6.715 states/eV per cell

=====

Entry from Alexandria via LeMat-Bulk: crystalline Cs3RbW at its relaxed geometry (PBE).

The structure in POSCAR format:
```
Cs3RbW
1.0
-5.582 -2.101 -4.734
-4.033 -2.604 5.910
-3.249 6.840 0.796
Cs Rb W
3 1 1
direct
0.500 0.000 0.000
0.000 0.000 0.500
0.000 0.500 0.000
0.500 0.500 0.500
0.000 0.000 0.000
```

Values from the calculation:
Symmetry: Pm-3m (221)
E above lowest polymorph: 0 kJ/mol of formula units
Calculated formation energy: 1.21 eV per atom
Calculated volume: 88.29 Å³/atom
D(E_F): 2.698 states/eV per cell

=====

Q: Number 3 is which compound?
A: Cs3RbW